*A*
Entry from the Alexandria database: LaZnC3 after structural relaxation (PBE).

Cell and atoms, written as extended XYZ:
```
5
Lattice="4.0739 0.0000 0.0000 0.0000 4.0739 0.0000 0.0000 0.0000 4.0739" Properties=species:S:1:pos:R:3 pbc="T T T"
Zn 0.0000 0.0000 0.0000
C 0.0000 2.0370 0.0000
C 0.0000 0.0000 2.0370
C 2.0370 0.0000 0.0000
La 2.0370 2.0370 2.0370
```

## Properties
Its density of states at the Fermi level is 2.8 states/eV/f.u.

*B*
Entry from the Alexandria database: LaZnC3 after structural relaxation (PBE).

Cell and atoms, written as extended XYZ:
```
5
Lattice="-3.2556 -2.4937 -1.9168 2.0323 0.4377 -4.0212 2.4005 -3.7525 0.8048" Properties=species:S:1:pos:R:3 pbc="T T T"
Zn 0.5886 -2.9043 -2.5666
C 1.0162 0.2188 -2.0106
C 1.2002 -1.8763 0.4024
C -1.6278 -1.2468 -0.9584
La 0.0000 0.0000 0.0000
```

## Properties
Its density of states at the Fermi level is 5.6 states/eV/f.u.

Which of them is the least stable? Correct choice: *B*.

*A*
Entry from the Alexandria database: LiC2 after structural relaxation (PBE).

Cell and atoms, written as extended XYZ:
```
6
Lattice="1.3165 -7.0750 0.0000 1.3165 7.0750 0.0000 0.0000 0.0000 2.5353" Properties=species:S:1:pos:R:3 pbc="T T T"
Li 1.3165 5.3087 1.9014
Li 1.3165 -5.3087 0.6338
C 1.3165 0.1757 1.9014
C 1.3165 -0.1757 0.6338
C 1.3165 -3.5211 1.9014
C 1.3165 3.5211 0.6338
```

## Properties
Its density of states at the Fermi level is 0.8 states/eV/f.u.

*B*
Entry from the Alexandria database: LiC2 after structural relaxation (PBE).

Cell and atoms, written as extended XYZ:
```
3
Lattice="1.3019 3.2960 -0.0380 -1.3019 3.2960 -0.0380 0.0000 0.6988 3.2487" Properties=species:S:1:pos:R:3 pbc="T T T"
Li 0.0000 3.6454 1.5864
C 0.0000 1.5573 0.1216
C 0.0000 5.7334 3.0512
```

## Properties
Its density of states at the Fermi level is 0.3 states/eV/f.u.

*C*
Entry from the Alexandria database: LiC2 after structural relaxation (PBE).

Cell and atoms, written as extended XYZ:
```
6
Lattice="-1.4075 1.4075 4.5973 1.4075 -1.4075 4.5973 1.4075 1.4075 -4.5973" Properties=species:S:1:pos:R:3 pbc="T T T"
Li 0.0000 0.0000 0.0000
Li 0.0000 1.4075 2.2986
C 0.0000 0.0000 5.3468
C 1.4075 0.0000 1.5491
C 0.0000 0.0000 3.8477
C 1.4075 0.0000 3.0482
```

## Properties
Its density of states at the Fermi level is 0.5 states/eV/f.u.

Which of them is the least stable? Correct choice: *A*.

*A*
Entry from the Alexandria database: Li3C2 after structural relaxation (PBE).

Cell and atoms, written as extended XYZ:
```
10
Lattice="-1.3851 -2.1601 0.1965 2.7256 -1.4593 3.1580 -6.3910 1.9320 6.4047" Properties=species:S:1:pos:R:3 pbc="T T T"
C -5.9259 -0.1566 6.9719
C -4.9802 0.8204 7.5223
C -2.1875 -1.0709 6.4141
C -2.3269 -2.4800 6.7974
Li -4.3701 0.2348 5.4101
Li -0.5335 -2.2118 5.5940
Li -4.0968 -1.2759 7.5682
Li -0.1883 -1.4837 2.5456
Li 2.4648 -1.5983 3.2173
Li -1.8690 0.1024 4.6456
```

## Properties
Its density of states at the Fermi level is 0.5 states/eV/f.u.

*B*
Entry from the Alexandria database: Li3C2 after structural relaxation (PBE).

Cell and atoms, written as extended XYZ:
```
10
Lattice="2.5689 0.0000 0.0000 1.2845 4.5125 0.0000 1.2845 0.0000 8.1650" Properties=species:S:1:pos:R:3 pbc="T T T"
C 3.3336 2.0450 7.8701
C 0.7647 2.4675 0.2949
C 2.6913 4.3013 4.3774
C 2.6913 0.2112 3.7876
Li 2.7601 0.7082 5.8578
Li 2.7601 3.8043 2.3072
Li 2.1179 2.9645 6.3897
Li 2.1179 1.5480 1.7753
Li 0.6572 0.0000 0.0000
Li 1.2995 2.2562 4.0825
```

## Properties
Its density of states at the Fermi level is 1.2 states/eV/f.u.

*C*
Entry from the Alexandria database: Li3C2 after structural relaxation (PBE).

Cell and atoms, written as extended XYZ:
```
10
Lattice="11.8969 3.3993 -0.7358 9.5766 6.8833 -0.1697 2.3203 -2.9380 1.9562" Properties=species:S:1:pos:R:3 pbc="T T T"
C 10.4229 5.1876 -0.3316
C 13.3708 1.9383 0.3718
C 16.7717 7.3001 -0.1287
C 7.0221 0.0988 1.4301
Li 8.6459 1.5091 1.1275
Li 15.1479 5.8910 0.1790
Li 21.0452 7.7980 0.4264
Li 14.6455 3.2744 1.4055
Li 11.8969 3.5627 0.0189
Li 17.8453 5.3989 0.2815
```

## Properties
Its density of states at the Fermi level is 1.5 states/eV/f.u.

Which of them is the least stable? Correct choice: *B*.

*A*
Entry from the Alexandria database: LiC3 after structural relaxation (PBE).

Cell and atoms, written as extended XYZ:
```
4
Lattice="-2.0977 0.4575 2.5767 2.0225 -2.4408 -1.0961 3.9140 1.9693 2.8368" Properties=species:S:1:pos:R:3 pbc="T T T"
C 3.5799 1.8012 2.5947
C 2.8979 0.4853 2.8679
C 2.2911 1.1527 1.6605
Li 0.9409 -0.4993 1.4495
```

## Properties
Its density of states at the Fermi level is 0.9 states/eV/f.u.

*B*
Entry from the Alexandria database: LiC3 after structural relaxation (PBE).

Cell and atoms, written as extended XYZ:
```
8
Lattice="-0.9323 -0.2916 6.8514 -1.1045 -3.3082 -5.9776 2.2534 -1.2131 0.2550" Properties=species:S:1:pos:R:3 pbc="T T T"
Li -0.4382 -1.8079 1.7564
Li 0.6548 -3.0050 -0.6276
C 0.5878 -4.1781 -5.6168
C -0.3712 -0.6347 6.7456
C 0.3718 -2.5660 3.9612
C -0.1552 -2.2469 -2.8325
C 1.0570 -1.3550 3.6673
C -0.8404 -3.4578 -2.5385
```

## Properties
Its density of states at the Fermi level is 0.9 states/eV/f.u.

Which of them is the least stable? Correct choice: *A*.